No. 1
Ho7Hg4Pb | GGA-PBE | optimized geometry

Uncorrected energy, eV for the cell shown: -79.747
DFT formation energy, eV per atom: -0.24
Total magnetic moment, μB/cell: 0.000
Crystal system: monoclinic
Theoretical density, g/cm3: 10.58

Geometry as CIF:
```
data_Ho7Hg4Pb
_symmetry_space_group_name_H-M 'C 1 2/m 1'
_symmetry_Int_Tables_number 12
_symmetry_space_group_name_Hall '-C 2y'
_cell_length_a 15.0881
_cell_length_b 5.7211
_cell_length_c 8.8866
_cell_angle_alpha 90.00
_cell_angle_beta 117.68
_cell_angle_gamma 90.00
loop_
_atom_site_label
_atom_site_fract_x
_atom_site_fract_y
_atom_site_fract_z
_atom_site_occupancy
Ho1 0.0000 0.0000 0.0000 1
Ho2 0.0739 0.5000 0.3997 1
Ho3 0.1690 0.5000 0.8806 1
Ho4 0.2145 0.0000 0.6634 1
Hg1 0.0277 0.0000 0.6875 1
Hg2 0.2017 0.0000 0.3097 1
Pb1 0.0000 0.5000 0.0000 1
```

=====

No. 2
HoHg4Pb | GGA-PBE | optimized geometry

Uncorrected energy, eV for the cell shown: -39.203
DFT formation energy, eV per atom: -0.05
Total magnetic moment, μB/cell: 0.000
Crystal system: cubic
Theoretical density, g/cm3: 12.57

Geometry as CIF:
```
data_HoHg4Pb
_symmetry_space_group_name_H-M 'F -4 3 m'
_symmetry_Int_Tables_number 216
_symmetry_space_group_name_Hall 'F -4 2 3'
_cell_length_a 8.5301
_cell_length_b 8.5301
_cell_length_c 8.5301
_cell_angle_alpha 90.00
_cell_angle_beta 90.00
_cell_angle_gamma 90.00
loop_
_atom_site_label
_atom_site_fract_x
_atom_site_fract_y
_atom_site_fract_z
_atom_site_occupancy
Ho1 0.0000 0.0000 0.0000 1
Hg1 0.1251 0.1251 0.3749 1
Pb1 0.2500 0.2500 0.7500 1
```

=====

No. 3
Ho3Hg3Pb | GGA-PBE | optimized geometry

Uncorrected energy, eV for the cell shown: -41.935
DFT formation energy, eV per atom: -0.37
Total magnetic moment, μB/cell: 0.000
Crystal system: hexagonal
Theoretical density, g/cm3: 11.79

Geometry as CIF:
```
data_Ho3Hg3Pb
_symmetry_space_group_name_H-M 'P 63/m'
_symmetry_Int_Tables_number 176
_symmetry_space_group_name_Hall '-P 6c'
_cell_length_a 9.2186
_cell_length_b 9.2186
_cell_length_c 4.9917
_cell_angle_alpha 90.00
_cell_angle_beta 90.00
_cell_angle_gamma 120.00
loop_
_atom_site_label
_atom_site_fract_x
_atom_site_fract_y
_atom_site_fract_z
_atom_site_occupancy
Ho1 0.0995 0.4423 0.2500 1
Hg1 0.0342 0.2309 0.7500 1
Pb1 0.3333 0.6667 0.7500 1
```

=====

No. 4
Ho4Hg4Pb5 | GGA-PBE | optimized geometry

Uncorrected energy, eV for the cell shown: -84.217
DFT formation energy, eV per atom: -0.31
Total magnetic moment, μB/cell: 0.000
Crystal system: tetragonal
Theoretical density, g/cm3: 11.94

Geometry as CIF:
```
data_Ho4Hg4Pb5
_symmetry_space_group_name_H-M 'I 4/m'
_symmetry_Int_Tables_number 87
_symmetry_space_group_name_Hall '-I 4'
_cell_length_a 12.1645
_cell_length_b 12.1645
_cell_length_c 4.6968
_cell_angle_alpha 90.00
_cell_angle_beta 90.00
_cell_angle_gamma 90.00
loop_
_atom_site_label
_atom_site_fract_x
_atom_site_fract_y
_atom_site_fract_z
_atom_site_occupancy
Ho1 0.1275 0.2273 0.0000 1
Hg1 0.0876 0.6050 0.0000 1
Pb1 0.0000 0.0000 0.0000 1
Pb2 0.0584 0.7956 0.5000 1
```

=====

No. 5
HoHgPdPb | GGA-PBE | optimized geometry

Uncorrected energy, eV for the cell shown: -62.155
DFT formation energy, eV per atom: -0.44
Total magnetic moment, μB/cell: 0.000
Crystal system: cubic
Theoretical density, g/cm3: 12.35

Geometry as CIF:
```
data_HoHgPdPb
_symmetry_space_group_name_H-M 'F -4 3 m'
_symmetry_Int_Tables_number 216
_symmetry_space_group_name_Hall 'F -4 2 3'
_cell_length_a 7.1477
_cell_length_b 7.1477
_cell_length_c 7.1477
_cell_angle_alpha 90.00
_cell_angle_beta 90.00
_cell_angle_gamma 90.00
loop_
_atom_site_label
_atom_site_fract_x
_atom_site_fract_y
_atom_site_fract_z
_atom_site_occupancy
Ho1 0.0000 0.0000 0.0000 1
Hg1 0.2500 0.2500 0.7500 1
Pd1 0.2500 0.2500 0.2500 1
Pb1 0.0000 0.0000 0.5000 1
```

=====

No. 6
PmHoHgPb | GGA-PBE | optimized geometry

Uncorrected energy, eV for the cell shown: -60.812
DFT formation energy, eV per atom: -0.47
Total magnetic moment, μB/cell: 0.000
Crystal system: cubic
Theoretical density, g/cm3: 10.76

Geometry as CIF:
```
data_PmHoHgPb
_symmetry_space_group_name_H-M 'F -4 3 m'
_symmetry_Int_Tables_number 216
_symmetry_space_group_name_Hall 'F -4 2 3'
_cell_length_a 7.6241
_cell_length_b 7.6241
_cell_length_c 7.6241
_cell_angle_alpha 90.00
_cell_angle_beta 90.00
_cell_angle_gamma 90.00
loop_
_atom_site_label
_atom_site_fract_x
_atom_site_fract_y
_atom_site_fract_z
_atom_site_occupancy
Pm1 0.0000 0.0000 0.0000 1
Ho1 0.0000 0.0000 0.5000 1
Hg1 0.2500 0.2500 0.2500 1
Pb1 0.2500 0.2500 0.7500 1
```

=====

No. 7
Pm2HoHg2Pb2 | GGA-PBE | optimized geometry

Uncorrected energy, eV for the cell shown: -70.974
DFT formation energy, eV per atom: -0.22
Total magnetic moment, μB/cell: 0.000
Crystal system: trigonal
Theoretical density, g/cm3: 10.34

Geometry as CIF:
```
data_Pm2HoHg2Pb2
_symmetry_space_group_name_H-M 'R -3 m'
_symmetry_Int_Tables_number 166
_symmetry_space_group_name_Hall '-R 3 2"'
_cell_length_a 5.1062
_cell_length_b 5.1062
_cell_length_c 27.1069
_cell_angle_alpha 90.00
_cell_angle_beta 90.00
_cell_angle_gamma 120.00
loop_
_atom_site_label
_atom_site_fract_x
_atom_site_fract_y
_atom_site_fract_z
_atom_site_occupancy
Pm1 0.0000 0.0000 0.1299 1
Ho1 0.0000 0.0000 0.0000 1
Hg1 0.0000 0.0000 0.4321 1
Pb1 0.0000 0.0000 0.2766 1
```

=====

No. 8
PrHoHgPb | GGA-PBE | optimized geometry

Uncorrected energy, eV for the cell shown: -60.937
DFT formation energy, eV per atom: -0.47
Total magnetic moment, μB/cell: 0.000
Crystal system: cubic
Theoretical density, g/cm3: 10.47

Geometry as CIF:
```
data_PrHoHgPb
_symmetry_space_group_name_H-M 'F -4 3 m'
_symmetry_Int_Tables_number 216
_symmetry_space_group_name_Hall 'F -4 2 3'
_cell_length_a 7.6785
_cell_length_b 7.6785
_cell_length_c 7.6785
_cell_angle_alpha 90.00
_cell_angle_beta 90.00
_cell_angle_gamma 90.00
loop_
_atom_site_label
_atom_site_fract_x
_atom_site_fract_y
_atom_site_fract_z
_atom_site_occupancy
Pr1 0.0000 0.0000 0.0000 1
Ho1 0.0000 0.0000 0.5000 1
Hg1 0.2500 0.2500 0.2500 1
Pb1 0.2500 0.2500 0.7500 1
```